{"formula": "Li2AlRu", "functional": "PBEsol", "state": "optimized geometry", "lattice_angstrom": [[-1.593, 1.958, -0.149], [-0.570, -0.084, 4.969], [3.652, 2.814, -2.051]], "species": ["Ru", "Al", "Li", "Li"], "fractional_positions": [[0.500, 0.000, 0.000], [0.500, 0.500, 0.000], [0.000, 0.500, 0.500], [0.000, 0.000, 0.500]], "formation_enthalpy_0k_ev_per_atom": 0.040, "final_energy_ry_per_atom": -0.33140, "dos_ef_per_ev_cell": 1.7}

=====

{"formula": "LiAlS2", "functional": "PBEsol", "state": "optimized geometry", "lattice_angstrom": [[6.162, 0.000, 0.000], [0.000, 6.479, 0.000], [0.000, 0.000, 7.858]], "species": ["S", "S", "S", "S", "S", "S", "S", "S", "Al", "Al", "Al", "Al", "Li", "Li", "Li", "Li"], "fractional_positions": [[0.989, 0.565, 0.385], [0.489, 0.435, 0.615], [0.489, 0.935, 0.885], [0.989, 0.065, 0.115], [0.009, 0.594, 0.862], [0.509, 0.406, 0.138], [0.509, 0.906, 0.362], [0.009, 0.094, 0.638], [0.622, 0.574, 0.374], [0.122, 0.426, 0.626], [0.122, 0.926, 0.874], [0.622, 0.074, 0.126], [0.116, 0.916, 0.378], [0.616, 0.084, 0.622], [0.616, 0.584, 0.878], [0.116, 0.416, 0.122]], "final_energy_ry_per_atom": -0.36631, "raw_formation_energy_ev_per_atom": -1.28, "dos_ef_per_ev_cell": 0.0}